CsLaTcSb GGA-PBE optimized geometry; distance to the lowest polymorph of the same formula = 0.131 eV/atom; ΔE_f (raw) = 0.36 eV/f.u.
1.0
16.290 0.000 0.000
0.000 3.933 0.000
-1.565 0.000 4.827
Cs La Tc Sb
2 2 2 2
direct
0.000 0.000 0.000
0.500 0.500 0.000
0.254 0.000 0.252
0.754 0.500 0.252
0.296 0.000 0.793
0.796 0.500 0.793
0.177 0.500 0.676
0.677 0.000 0.676